First-principles (PBE-GGA) data for Ti2InPd8 after structural relaxation, as listed in the Alexandria database.

Cell: 3.9907 6.4092 7.3757 Å, 105.69 105.70 90.00°
Last column: nearest neighbours and their distance in Å.
Fractional coordinates of all 11 atoms:
1 Ti 0.7801 0.3359 0.5602  10 Pd 2.64-2.89
2 Ti 0.2199 0.6641 0.4398  10 Pd 2.64-2.89
3 In 0.5000 0.0000 0.0000  12 Pd 2.76-2.97
4 Pd 0.3986 0.5340 0.7973  3 Ti 2.69-2.89, 7 Pd 2.78-2.89, 1 In 2.93
5 Pd 0.6806 0.9165 0.3613  3 Ti 2.66-2.72, 8 Pd 2.74-2.87, 1 In 2.76
6 Pd 0.8488 0.7861 0.6975  3 Ti 2.67-2.77, 6 Pd 2.74-2.90, 2 In 2.97
7 Pd 0.9561 0.2742 0.9121  1 Ti 2.64, 8 Pd 2.81-2.90, 2 In 2.84
8 Pd 0.1512 0.2139 0.3025  3 Ti 2.67-2.77, 6 Pd 2.74-2.90, 2 In 2.97
9 Pd 0.3194 0.0835 0.6387  3 Ti 2.66-2.72, 8 Pd 2.74-2.87, 1 In 2.76
10 Pd 0.6014 0.4660 0.2027  3 Ti 2.69-2.89, 7 Pd 2.78-2.89, 1 In 2.93
11 Pd 0.0439 0.7258 0.0879  1 Ti 2.64, 8 Pd 2.81-2.90, 2 In 2.84

Calculated values
Formation energy from the elements, eV per atom: -0.533
Crystal system: monoclinic
N(E_F), states/eV/f.u.: 6.39
Spin magnetization, μB/f.u.: 0.00
Total DFT energy (no corrections), eV/cell: -65.94